Record 1
# As2PbCBr GGA-PBE relaxed
data_As2PbCBr
_cell_length_a 4.238
_cell_length_b 4.238
_cell_length_c 6.681
_cell_angle_alpha 90.00
_cell_angle_beta 90.00
_cell_angle_gamma 90.00
_space_group_name_H-M_alt 'P 1'
_space_group_IT_number 1
loop_
_space_group_symop_operation_xyz
'x,y,z'
loop_
_atom_site_label
_atom_site_type_symbol
_atom_site_fract_x
_atom_site_fract_y
_atom_site_fract_z
As1 As 0.000 0.500 0.000
As2 As 0.500 0.000 0.000
Pb1 Pb 0.000 0.000 0.500
C1 C 0.500 0.500 0.000
Br1 Br 0.500 0.500 0.500
# energy above the lowest structure with this stoichiometry: 0.000 eV per atom
# total magnetic moment: 0.00 μB per formula unit
# energy relative to the elements, uncorrected: 0.856 eV per atom

***

Record 2
# CdSiPbN2 GGA-PBE relaxed
data_CdSiPbN2
_cell_length_a 4.380
_cell_length_b 4.380
_cell_length_c 5.741
_cell_angle_alpha 90.00
_cell_angle_beta 90.00
_cell_angle_gamma 90.00
_space_group_name_H-M_alt 'P 1'
_space_group_IT_number 1
loop_
_space_group_symop_operation_xyz
'x,y,z'
loop_
_atom_site_label
_atom_site_type_symbol
_atom_site_fract_x
_atom_site_fract_y
_atom_site_fract_z
Cd1 Cd 0.000 0.000 0.000
Si1 Si 0.500 0.500 0.000
Pb1 Pb 0.500 0.500 0.500
N1 N 0.000 0.500 0.500
N2 N 0.500 0.000 0.500
# total magnetic moment: 2.52 μB per formula unit
# energy relative to the elements, uncorrected: 1.840 eV per atom

***

Record 3
# Ba2InHg GGA-PBE relaxed
data_Ba2InHg
_cell_length_a 4.361
_cell_length_b 4.361
_cell_length_c 8.862
_cell_angle_alpha 90.00
_cell_angle_beta 90.00
_cell_angle_gamma 90.00
_space_group_name_H-M_alt 'P 1'
_space_group_IT_number 1
loop_
_space_group_symop_operation_xyz
'x,y,z'
loop_
_atom_site_label
_atom_site_type_symbol
_atom_site_fract_x
_atom_site_fract_y
_atom_site_fract_z
Ba1 Ba 0.000 0.000 0.000
Ba2 Ba 0.500 0.500 0.399
In1 In 0.500 0.500 0.790
Hg1 Hg 0.000 0.000 0.595
# VASP energy: -1.996 eV/atom
# total magnetic moment: 0.00 μB per formula unit

***

Record 4
# KNb2Cd GGA-PBE relaxed
data_KNb2Cd
_cell_length_a 11.655
_cell_length_b 11.655
_cell_length_c 11.655
_cell_angle_alpha 157.95
_cell_angle_beta 157.95
_cell_angle_gamma 31.39
_space_group_name_H-M_alt 'P 1'
_space_group_IT_number 1
loop_
_space_group_symop_operation_xyz
'x,y,z'
loop_
_atom_site_label
_atom_site_type_symbol
_atom_site_fract_x
_atom_site_fract_y
_atom_site_fract_z
K1 K 0.000 0.000 0.000
K2 K 0.750 0.250 0.500
Nb1 Nb 0.263 0.625 0.138
Nb2 Nb 0.375 0.513 0.638
Nb3 Nb 0.487 0.125 0.862
Nb4 Nb 0.875 0.737 0.362
Cd1 Cd 0.250 0.750 0.500
Cd2 Cd 0.500 0.500 0.000
# VASP energy: -4.365 eV/atom
# total magnetic moment: 0.00 μB per formula unit

***

Which value of total magnetic moment does entry 3 give? 0.00 μB per formula unit

***

Among the records above, which one has the highest total magnetic moment? CdSiPbN2

***

Which value of total magnetic moment does entry 3 give? 0.00 μB per formula unit